[1]
Dy3YIn3: relaxed, PBE.

Summary:
calculated formation energy: -345 meV/atom
E above lowest polymorph: 0.000 eV per atom
DOS at the Fermi energy: 5.5 states/eV/f.u.
crystal system: hexagonal

a = 5.1514 Å, b = 9.3566 Å, c = 9.3566 Å
α = 120.00°, β = 90.00°, γ = 90.00°
Element x y z (fractional)
1 In 0.2500 0.0712 0.6166
2 In 0.7500 0.9288 0.3834
3 In 0.2500 0.5455 0.9288
4 Dy 0.7500 0.2318 0.2336
5 Dy 0.2500 0.2336 0.0017
6 Dy 0.2500 0.9983 0.2318
7 Y 0.2500 0.6667 0.3333
8 Dy 0.7500 0.0017 0.7682
9 In 0.7500 0.4545 0.0712
10 In 0.7500 0.6166 0.5455
11 In 0.2500 0.3834 0.4545
12 Dy 0.2500 0.7682 0.7664
13 Dy 0.7500 0.7664 0.9983
14 Y 0.7500 0.3333 0.6667


[2]
TaCrAg2: relaxed, PBE.

Summary:
calculated formation energy: 626 meV/atom
E above lowest polymorph: 0.317 eV per atom
DOS at the Fermi energy: 6.2 states/eV/f.u.
crystal system: cubic

a = 4.5725 Å, b = 4.5725 Å, c = 4.5725 Å
α = 60.00°, β = 60.00°, γ = 60.00°
Each line ends with the local moment (μB).
Element x y z (fractional)
1 Ag 0.0000 0.0000 0.0000  0.02
2 Ta 0.7500 0.7500 0.7500  -0.22
3 Ag 0.2500 0.2500 0.2500  0.07
4 Cr 0.5000 0.5000 0.5000  2.83


[3]
LiPmSnBr6: relaxed, PBE.

Summary:
formation energy (no corrections): -1.404 eV/atom
DOS at the Fermi energy: 0.0 states/eV/f.u.
crystal system: trigonal

a = 7.1801 Å, b = 7.1801 Å, c = 13.1883 Å
α = 90.00°, β = 90.00°, γ = 120.00°
Element x y z (fractional)
1 Br 0.0114 0.3544 0.1285
2 Pm 0.3333 0.6667 0.7500
3 Br 0.6570 0.0114 0.8715
4 Br 0.3544 0.3430 0.8715
5 Br 0.3430 0.3544 0.3715
6 Li 0.6667 0.3333 0.7500
7 Br 0.0114 0.6570 0.3715
8 Br 0.6456 0.9886 0.3715
9 Br 0.6456 0.6570 0.1285
10 Br 0.9886 0.3430 0.6285
11 Sn 0.0000 0.0000 0.0000
12 Li 0.3333 0.6667 0.2500
13 Pm 0.6667 0.3333 0.2500
14 Br 0.3544 0.0114 0.6285
15 Br 0.9886 0.6456 0.8715
16 Sn 0.0000 0.0000 0.5000
17 Br 0.3430 0.9886 0.1285
18 Br 0.6570 0.6456 0.6285